## BaGaP3 (PBE)

Data for an optimized crystal structure of BaGaP3.

Summary:
DOS(E_F) ... 5.9 states/eV/cell
E_form ... 1330 meV per atom

```
BaGaP3
1.0
5.735 0.000 0.000
0.000 5.735 0.000
0.000 0.000 5.735
Ba Ga P
1 1 3
direct
0.000 0.000 0.000 Ba
0.500 0.500 0.500 Ga
0.000 0.000 0.500 P
0.000 0.500 0.000 P
0.500 0.000 0.000 P
```


## BaGaP (PBE)

Data for an optimized crystal structure of BaGaP.

Summary:
DOS(E_F) ... 1.5 states/eV/cell
E_form ... -757 meV per atom

```
BaGaP
1.0
7.544 0.000 0.000
0.000 4.940 0.000
0.000 0.000 9.061
Ba Ga P
4 4 4
direct
0.130 0.250 0.158 Ba
0.370 0.750 0.658 Ba
0.630 0.250 0.342 Ba
0.870 0.750 0.842 Ba
0.010 0.750 0.421 Ga
0.490 0.250 0.921 Ga
0.510 0.750 0.079 Ga
0.990 0.250 0.579 Ga
0.167 0.250 0.811 P
0.333 0.750 0.311 P
0.667 0.250 0.689 P
0.833 0.750 0.189 P
```


## Ba8GaP2 (PBE)

Data for an optimized crystal structure of Ba8GaP2.

Summary:
DOS(E_F) ... 10.2 states/eV/cell
E_form ... -305 meV per atom

```
Ba8GaP2
1.0
10.432 0.000 0.000
-5.216 9.034 0.000
0.000 0.000 6.623
Ba Ga P
8 1 2
direct
0.165 0.331 0.252 Ba
0.166 0.835 0.252 Ba
0.331 0.166 0.748 Ba
0.333 0.667 0.778 Ba
0.667 0.333 0.222 Ba
0.669 0.834 0.252 Ba
0.834 0.165 0.748 Ba
0.835 0.669 0.748 Ba
0.000 0.000 0.500 Ga
0.333 0.667 0.296 P
0.667 0.333 0.704 P
```


## Ba3Ga2P4 (PBE)

Data for an optimized crystal structure of Ba3Ga2P4.

Summary:
DOS(E_F) ... 0.5 states/eV/cell
E_form ... -787 meV per atom

```
Ba3Ga2P4
1.0
7.455 -2.135 0.000
7.455 2.135 0.000
-5.178 0.000 8.028
Ba Ga P
3 2 4
direct
0.000 0.000 0.000 Ba
0.363 0.363 0.266 Ba
0.637 0.637 0.734 Ba
0.311 0.311 0.652 Ga
0.689 0.689 0.348 Ga
0.121 0.121 0.415 P
0.319 0.319 0.904 P
0.681 0.681 0.096 P
0.879 0.879 0.585 P
```


## BaGaP (PBE)

Data for an optimized crystal structure of BaGaP.

Summary:
DOS(E_F) ... 0.2 states/eV/cell
E_form ... -658 meV per atom

```
BaGaP
1.0
4.268 0.000 0.000
-2.134 3.696 0.000
0.000 0.000 5.260
Ba Ga P
1 1 1
direct
0.000 0.000 0.000 Ba
0.333 0.667 0.421 Ga
0.667 0.333 0.593 P
```


## BaGa2P2 (PBE)

Data for an optimized crystal structure of BaGa2P2.

Summary:
DOS(E_F) ... 2.3 states/eV/cell
E_form ... -355 meV per atom

```
BaGa2P2
1.0
-2.241 2.241 5.925
2.241 -2.241 5.925
2.241 2.241 -5.925
Ba Ga P
1 2 2
direct
0.000 0.000 0.000 Ba
0.250 0.750 0.500 Ga
0.750 0.250 0.500 Ga
0.407 0.407 0.000 P
0.593 0.593 0.000 P
```


## BaGa3P (PBE)

Data for an optimized crystal structure of BaGa3P.

Summary:
DOS(E_F) ... 6.0 states/eV/cell
E_form ... 1332 meV per atom

```
BaGa3P
1.0
5.921 0.000 0.000
0.000 5.921 0.000
0.000 0.000 5.921
Ba Ga P
1 3 1
direct
0.000 0.000 0.000 Ba
0.000 0.000 0.500 Ga
0.000 0.500 0.000 Ga
0.500 0.000 0.000 Ga
0.500 0.500 0.500 P
```


## Ba3Ga2P4 (PBE)

Data for an optimized crystal structure of Ba3Ga2P4.

Summary:
E_form ... -726 meV per atom

```
Ba3Ga2P4
1.0
7.905 -4.442 0.000
7.905 4.442 0.000
-0.030 0.000 7.861
Ba Ga P
6 4 8
direct
0.030 0.970 0.750 Ba
0.263 0.476 0.391 Ba
0.476 0.263 0.891 Ba
0.524 0.737 0.109 Ba
0.737 0.524 0.609 Ba
0.970 0.030 0.250 Ba
0.064 0.284 0.976 Ga
0.284 0.064 0.476 Ga
0.716 0.936 0.524 Ga
0.936 0.716 0.024 Ga
0.151 0.283 0.681 P
0.210 0.664 0.015 P
0.283 0.151 0.181 P
0.336 0.790 0.485 P
0.664 0.210 0.515 P
0.717 0.849 0.819 P
0.790 0.336 0.985 P
0.849 0.717 0.319 P
```


## Ba5GaP8 (PBE)

Data for an optimized crystal structure of Ba5GaP8.

Summary:
DOS(E_F) ... 2.5 states/eV/cell
E_form ... -677 meV per atom

```
Ba5GaP8
1.0
-4.692 4.692 5.045
4.692 -4.692 5.045
4.692 4.692 -5.045
Ba Ga P
5 1 8
direct
0.000 0.000 0.000 Ba
0.137 0.570 0.923 Ba
0.430 0.353 0.567 Ba
0.647 0.214 0.077 Ba
0.786 0.863 0.433 Ba
0.250 0.750 0.500 Ga
0.116 0.882 0.302 P
0.118 0.420 0.235 P
0.186 0.884 0.765 P
0.241 0.197 0.834 P
0.363 0.407 0.166 P
0.580 0.814 0.698 P
0.593 0.759 0.956 P
0.803 0.637 0.044 P
```


## Ba3GaP2 (PBE)

Data for an optimized crystal structure of Ba3GaP2.

Summary:
DOS(E_F) ... 6.5 states/eV/cell
E_form ... -651 meV per atom

```
Ba3GaP2
1.0
-3.794 7.196 4.079
3.794 -7.196 4.079
3.794 7.196 -4.079
Ba Ga P
6 2 4
direct
0.043 0.750 0.293 Ba
0.250 0.250 0.000 Ba
0.457 0.750 0.707 Ba
0.543 0.250 0.293 Ba
0.750 0.750 0.000 Ba
0.957 0.250 0.707 Ba
0.000 0.500 0.500 Ga
0.500 0.000 0.500 Ga
0.145 0.190 0.335 P
0.355 0.690 0.045 P
0.645 0.310 0.955 P
0.855 0.810 0.665 P
```


## Ba2GaPPd6 (PBE)

Data for an optimized crystal structure of Ba2GaPPd6.

Summary:
DOS(E_F) ... 4.6 states/eV/cell
E_form ... -695 meV per atom

```
Ba2GaPPd6
1.0
5.650 -3.283 0.000
5.650 3.283 0.000
-3.744 0.000 5.847
Ba Ga P Pd
2 1 1 6
direct
0.217 0.217 0.152 Ba
0.783 0.783 0.848 Ba
0.500 0.500 0.000 Ga
0.000 0.000 0.500 P
0.245 0.245 0.662 Pd
0.245 0.670 0.661 Pd
0.330 0.755 0.339 Pd
0.670 0.245 0.661 Pd
0.755 0.330 0.339 Pd
0.755 0.755 0.338 Pd
```


## Ba2GaP3Pt12 (PBE)

Data for an optimized crystal structure of Ba2GaP3Pt12.

Summary:
DOS(E_F) ... 4.9 states/eV/cell
E_form ... -404 meV per atom

```
Ba2GaP3Pt12
1.0
4.162 2.403 6.267
-4.162 2.403 6.267
0.000 -4.806 6.267
Ba Ga P Pt
2 1 3 12
direct
0.114 0.114 0.114 Ba
0.886 0.886 0.886 Ba
0.500 0.500 0.500 Ga
0.000 0.500 0.500 P
0.500 0.000 0.500 P
0.500 0.500 0.000 P
0.138 0.612 0.612 Pt
0.165 0.165 0.590 Pt
0.165 0.590 0.165 Pt
0.388 0.388 0.862 Pt
0.388 0.862 0.388 Pt
0.410 0.835 0.835 Pt
0.590 0.165 0.165 Pt
0.612 0.138 0.612 Pt
0.612 0.612 0.138 Pt
0.835 0.410 0.835 Pt
0.835 0.835 0.410 Pt
0.862 0.388 0.388 Pt
```


Question: Which value of E_form does entry 2 give?
Answer: -757 meV per atom